Entry 1:
Density functional theory data (GGA-PBE) for a relaxed structure of Sm3Tl2H.

The structure in POSCAR format:
```
Sm3Tl2H
1.0
7.1770 -3.2319 0.0000
7.1770 3.2319 0.0000
-1.1208 0.0000 6.7538
Sm Tl H
6 4 2
Direct
0.0872 0.9128 0.7500
0.2801 0.4656 0.3776
0.4656 0.2801 0.8776
0.5344 0.7199 0.1224
0.7199 0.5344 0.6224
0.9128 0.0872 0.2500
0.0920 0.2686 0.0526
0.2686 0.0920 0.5526
0.7314 0.9080 0.4474
0.9080 0.7314 0.9474
0.4399 0.5601 0.7500
0.5601 0.4399 0.2500
```

Summary:
Size of the total moment in μB per cell: 0.0
N(E_F) in states/eV per atom: 0.6067
Total DFT energy (no corrections) in eV per formula unit: -23.93

=====

Entry 2:
Density functional theory data (GGA-PBE) for a relaxed structure of Sm6Tl5H.

The structure in POSCAR format:
```
Sm6Tl5H
1.0
4.3653 -5.8662 0.0000
4.3653 5.8662 0.0000
-1.6535 0.0000 6.6172
Sm Tl H
6 5 1
Direct
0.0469 0.3477 0.6905
0.1857 0.1857 0.1939
0.3477 0.0469 0.6905
0.6523 0.9531 0.3095
0.8143 0.8143 0.8061
0.9531 0.6523 0.3095
0.2315 0.7685 0.0000
0.3716 0.6284 0.5000
0.5000 0.5000 0.0000
0.6284 0.3716 0.5000
0.7685 0.2315 0.0000
0.0000 0.0000 0.5000
```

Summary:
Size of the total moment in μB per cell: 0.0
N(E_F) in states/eV per atom: 0.8648
Total DFT energy (no corrections) in eV per formula unit: -46.36

=====

Entry 3:
Density functional theory data (GGA-PBE) for a relaxed structure of Sm12Tl6H.

The structure in POSCAR format:
```
Sm12Tl6H
1.0
6.1589 3.5558 4.4082
-6.1589 3.5558 4.4082
0.0000 -7.1116 4.4082
Sm Tl H
12 6 1
Direct
0.0295 0.6969 0.9231
0.0769 0.9705 0.3031
0.1969 0.5318 0.4184
0.3031 0.0769 0.9705
0.4184 0.1969 0.5318
0.4682 0.5816 0.8031
0.5318 0.4184 0.1969
0.5816 0.8031 0.4682
0.6969 0.9231 0.0295
0.8031 0.4682 0.5816
0.9231 0.0295 0.6969
0.9705 0.3031 0.0769
0.1457 0.3527 0.7461
0.2539 0.8543 0.6473
0.3527 0.7461 0.1457
0.6473 0.2539 0.8543
0.7461 0.1457 0.3527
0.8543 0.6473 0.2539
0.5000 0.5000 0.5000
```

Summary:
Size of the total moment in μB per cell: 0.0
N(E_F) in states/eV per atom: 1.0274
Total DFT energy (no corrections) in eV per formula unit: -77.62

=====

Entry 4:
Density functional theory data (GGA-PBE) for a relaxed structure of Sm2TlH2.

The structure in POSCAR format:
```
Sm2TlH2
1.0
3.1664 -5.0979 0.0000
3.1664 5.0979 0.0000
-3.1538 0.0000 5.8082
Sm Tl H
4 2 4
Direct
0.0545 0.9455 0.7500
0.3062 0.6938 0.2500
0.6938 0.3062 0.7500
0.9455 0.0545 0.2500
0.3747 0.6253 0.7500
0.6253 0.3747 0.2500
0.0062 0.7549 0.0100
0.2451 0.9938 0.4900
0.7549 0.0062 0.5100
0.9938 0.2451 0.9900
```

Summary:
Size of the total moment in μB per cell: 0.0
N(E_F) in states/eV per atom: 0.5530
Total DFT energy (no corrections) in eV per formula unit: -21.04

=====

Entry 5:
Density functional theory data (GGA-PBE) for a relaxed structure of Sm2TlH.

The structure in POSCAR format:
```
Sm2TlH
1.0
1.8398 1.0622 7.9945
-1.8398 1.0622 7.9945
0.0000 -2.1244 7.9945
Sm Tl H
2 1 1
Direct
0.2253 0.2253 0.2253
0.7747 0.7747 0.7747
0.0000 0.0000 0.0000
0.5000 0.5000 0.5000
```

Summary:
Size of the total moment in μB per cell: 0.0
N(E_F) in states/eV per atom: 0.7085
Total DFT energy (no corrections) in eV per formula unit: -16.38

=====

Entry 6:
Density functional theory data (GGA-PBE) for a relaxed structure of Sm2TlH3.

The structure in POSCAR format:
```
Sm2TlH3
1.0
7.4083 -1.8951 0.0000
7.4083 1.8951 0.0000
-2.9773 0.0000 7.3237
Sm Tl H
4 2 6
Direct
0.0311 0.0311 0.2846
0.3011 0.3011 0.3303
0.6989 0.6989 0.6697
0.9689 0.9689 0.7154
0.3755 0.3755 0.9704
0.6245 0.6245 0.0296
0.0951 0.0951 0.6183
0.1936 0.1936 0.4809
0.4311 0.4311 0.5756
0.5689 0.5689 0.4244
0.8064 0.8064 0.5191
0.9049 0.9049 0.3817
```

Summary:
Size of the total moment in μB per cell: 0.0
N(E_F) in states/eV per atom: 0.3040
Total DFT energy (no corrections) in eV per formula unit: -24.89

=====

Entry 7:
Density functional theory data (GGA-PBE) for a relaxed structure of Sm2TlH.

The structure in POSCAR format:
```
Sm2TlH
1.0
2.7766 -6.2036 0.0000
2.7766 6.2036 0.0000
0.0000 0.0000 5.4959
Sm Tl H
4 2 2
Direct
0.1529 0.3471 0.0000
0.3471 0.1529 0.5000
0.6529 0.8471 0.5000
0.8471 0.6529 0.0000
0.0000 0.5000 0.5000
0.5000 0.0000 0.0000
0.0000 0.0000 0.2500
0.0000 0.0000 0.7500
```

Summary:
Size of the total moment in μB per cell: 1.0
N(E_F) in states/eV per atom: 0.6644
Total DFT energy (no corrections) in eV per formula unit: -16.93

=====

Entry 8:
Density functional theory data (GGA-PBE) for a relaxed structure of Sm4Tm2Tl3H2.

The structure in POSCAR format:
```
Sm4Tm2Tl3H2
1.0
-2.3876 2.3876 12.4620
2.3876 -2.3876 12.4620
2.3876 2.3876 -12.4620
Sm Tm Tl H
4 2 3 2
Direct
0.0871 0.5871 0.5000
0.4129 0.9129 0.5000
0.5871 0.0871 0.5000
0.9129 0.4129 0.5000
0.1996 0.1996 0.0000
0.8004 0.8004 0.0000
0.3228 0.3228 0.0000
0.5000 0.5000 0.0000
0.6772 0.6772 0.0000
0.1075 0.1075 0.0000
0.8925 0.8925 0.0000
```

Summary:
Size of the total moment in μB per cell: 0.0
N(E_F) in states/eV per atom: 0.7937
Total DFT energy (no corrections) in eV per formula unit: -44.36